Entry from OQMD via LeMat-Bulk: an optimized crystal structure of CoIO (PBE with a Hubbard U).

Structure (CIF):
```
data_CoIO
_space_group_name_H-M_alt 'P 1'
_space_group_IT_number 1
_cell_length_a 3.619
_cell_length_b 7.003
_cell_length_c 9.473
_cell_angle_alpha 95.83
_cell_angle_beta 101.01
_cell_angle_gamma 90.00
loop_
_space_group_symop_operation_xyz
'x,y,z'
loop_
_atom_site_label
_atom_site_fract_x
_atom_site_fract_y
_atom_site_fract_z
Co1 0.698 0.603 0.396
Co2 0.708 0.118 0.415
Co3 0.292 0.882 0.585
Co4 0.302 0.397 0.604
I1 0.087 0.359 0.174
I2 0.592 0.852 0.184
I3 0.408 0.148 0.816
I4 0.913 0.641 0.826
O1 0.237 0.121 0.473
O2 0.242 0.628 0.485
O3 0.758 0.372 0.515
O4 0.763 0.879 0.527
```

Calculated values
Final energy   -51.119 eV/cell
Energy above the lowest structure with this stoichiometry   430.4 meV/atom
V   19.5 Å³/atom
Total moment   0.9 μB/cell
SG   C2/m (12)